Material: KCd2Ru
Method: DFT, PBE-GGA
State: optimized geometry

Results
- ΔE to the lowest computed polymorph: 186 meV per atom
- Formation energy: 0.543 eV per atom

a b c (Å): 3.0426 3.0426 10.0012
angles (deg): 90.00 90.00 90.00
With the nearest neighbours (Å) after each atom.
Atoms (fractional coordinates):
K (0.0000, 0.0000, 0.0000)  4 K 3.04
Cd (0.0000, 0.0000, 0.4529)  4 Ru 2.85, 4 Cd 3.04
Cd (0.5000, 0.5000, 0.6982)  8 Cd 3.04-3.26
Ru (0.5000, 0.5000, 0.2654)  4 Cd 2.85, 4 Ru 3.04

---

Material: KCd2Ru
Method: DFT, PBE-GGA
State: optimized geometry

Results
- ΔE to the lowest computed polymorph: 383 meV per atom
- Formation energy: 0.740 eV per atom

a b c (Å): 2.7970 5.5677 5.8065
angles (deg): 90.00 90.00 90.00
With the nearest neighbours (Å) after each atom.
Atoms (fractional coordinates):
K (0.0000, 0.0000, 0.0000)  2 K 2.80, 4 Cd 3.12
Cd (0.0000, 0.5000, 0.5000)  2 Cd 2.80, 4 Ru 3.12
Cd (0.5000, 0.5000, 0.0000)  2 Cd 2.80, 4 K 3.12
Ru (0.5000, 0.0000, 0.5000)  2 Ru 2.80, 4 Cd 3.12

---

Material: K2CdRu
Method: DFT, PBE-GGA
State: optimized geometry

Results
- Formation energy: 0.577 eV per atom

a b c (Å): 10.2168 10.2168 4.4753
angles (deg): 102.61 102.61 18.38
With the nearest neighbours (Å) after each atom.
Atoms (fractional coordinates):
K (0.1451, 0.1451, 0.1424)  2 K 3.26, 2 Ru 3.29, 2 Cd 3.62-3.63
K (0.8549, 0.8549, 0.8576)  2 K 3.26, 2 Ru 3.29, 2 Cd 3.62-3.63
Cd (0.0000, 0.0000, 0.5000)  4 Ru 2.77
Ru (0.5000, 0.5000, 0.0000)  4 Cd 2.77

---

Material: KCd2Ru
Method: DFT, PBE-GGA
State: optimized geometry

Results
- ΔE to the lowest computed polymorph: 339 meV per atom
- Formation energy: 0.695 eV per atom

a b c (Å): 5.5824 5.5824 5.5824
angles (deg): 133.99 133.99 67.10
With the nearest neighbours (Å) after each atom.
Atoms (fractional coordinates):
K (0.0000, 0.0000, 0.0000)  8 Cd 3.09-3.19, 4 Ru 3.19
Cd (0.5000, 0.5000, 0.0000)  4 K 3.09, 4 Cd 3.19, 4 Ru 3.19
Cd (0.7500, 0.2500, 0.5000)  4 Ru 3.09, 4 Cd 3.19, 4 K 3.19
Ru (0.2500, 0.7500, 0.5000)  8 Cd 3.09-3.19, 4 K 3.19

---

Material: K2CdRu
Method: DFT, PBE-GGA
State: optimized geometry

Results
- Formation energy: 0.856 eV per atom

a b c (Å): 6.3074 6.3074 6.3074
angles (deg): 140.40 140.40 57.24
With the nearest neighbours (Å) after each atom.
Atoms (fractional coordinates):
K (0.2500, 0.7500, 0.5000)  4 K 3.02
K (0.7500, 0.2500, 0.5000)  4 K 3.02
Cd (0.0000, 0.0000, 0.0000)  4 Ru 3.02
Ru (0.5000, 0.5000, 0.0000)  4 Cd 3.02

---

Material: KCdRu2
Method: DFT, PBE-GGA
State: optimized geometry

Results
- Formation energy: 1.220 eV per atom

a b c (Å): 5.5490 5.5490 5.5490
angles (deg): 136.84 136.84 62.69
With the nearest neighbours (Å) after each atom.
Atoms (fractional coordinates):
K (0.0000, 0.0000, 0.0000)  4 Cd 2.89, 8 Ru 3.13
Cd (0.5000, 0.5000, 0.0000)  4 K 2.89, 8 Ru 3.13
Ru (0.2500, 0.7500, 0.5000)  4 Ru 2.89, 4 Cd 3.13, 4 K 3.13
Ru (0.7500, 0.2500, 0.5000)  4 Ru 2.89, 4 Cd 3.13, 4 K 3.13

---

Material: K2CdRuS
Method: DFT, PBE-GGA
State: optimized geometry

Results
- ΔE_f (raw): 364 kJ/mol of formula units
- ΔE to the lowest computed polymorph: 763 meV per atom

a b c (Å): 5.9822 5.9822 5.2057
angles (deg): 90.00 90.00 90.00
With the nearest neighbours (Å) after each atom.
Atoms (fractional coordinates):
K (0.0000, 0.5000, 0.0000)  2 Ru 2.99
K (0.5000, 0.0000, 0.0000)  2 Ru 2.99
Cd (0.0000, 0.0000, 0.5000)  2 Ru 2.60
Ru (0.0000, 0.0000, 0.0000)  2 Cd 2.60
S (0.5000, 0.5000, 0.5000)  8 K 3.97, 4 Cd 4.23

---

Material: K2CdRuS
Method: DFT, PBE-GGA
State: optimized geometry

Results
- ΔE_f (raw): -4 kJ/mol of formula units
- ΔE to the lowest computed polymorph: 0 meV per atom

a b c (Å): 6.1756 6.1756 4.3460
angles (deg): 90.00 90.00 90.00
With the nearest neighbours (Å) after each atom.
Atoms (fractional coordinates):
K (0.0000, 0.5000, 0.0000)  2 S 3.09
K (0.5000, 0.0000, 0.0000)  2 S 3.09
Cd (0.0000, 0.0000, 0.5000)  8 K 3.78
Ru (0.5000, 0.5000, 0.5000)  2 S 2.17
S (0.5000, 0.5000, 0.0000)  2 Ru 2.17